The following is a DFT calculation (PBE-GGA) of Er2Sc6Tc after structural relaxation.

* energy of formation from the pure elements: -0.02 eV/atom

Unit cell a=3.4259 b=8.6024 c=8.5463 alpha=120.22 beta=90.00 gamma=90.00
With the nearest neighbours (Å) after each atom.
Fractional positions:
Tc: 0.5000 0.0109 0.0000  8 Sc 2.76-2.92
Sc: 0.5000 0.6271 0.0000  4 Er 3.24, 8 Sc 3.25-3.57, 1 Tc 3.30
Sc: 0.5000 0.0047 0.6547  1 Tc 2.92, 4 Sc 3.16-3.23, 4 Er 3.25-3.27
Sc: 0.0000 0.7497 0.7569  2 Tc 2.76
Sc: 0.0000 0.9928 0.2431  2 Tc 2.76
Sc: 0.5000 0.3500 0.3453  1 Tc 2.92, 4 Sc 3.16-3.23, 4 Er 3.25-3.27
Sc: 0.0000 0.2631 0.0000  2 Tc 2.76
Er: 0.0000 0.3296 0.6575  9 Sc 3.24-3.27, 2 Er 3.43
Er: 0.0000 0.6721 0.3425  9 Sc 3.24-3.27, 2 Er 3.43


The following is a DFT calculation (PBE-GGA) of BaTa2Be after structural relaxation.

* energy of formation from the pure elements: 0.76 eV/atom

Unit cell a=4.9227 b=4.9227 c=6.7111 alpha=80.72 beta=80.72 gamma=37.82
With the nearest neighbours (Å) after each atom.
Fractional positions:
Ta: 0.7175 0.7175 0.8879  2 Be 2.51, 3 Ta 2.57-2.75
Ta: 0.9743 0.9743 0.9804  2 Be 2.53, 3 Ta 2.57-2.75
Ba: 0.5287 0.5287 0.4820  2 Ba 3.19, 3 Be 3.35-3.48, 1 Ta 3.49
Be: 0.2796 0.2796 0.1497  4 Ta 2.51-2.53


The following is a DFT calculation (PBE-GGA) of SrSi2PbAu after structural relaxation.

* ΔE_f (raw): 300.0 meV/atom

Unit cell a=4.9342 b=5.8422 c=4.9342 alpha=90.00 beta=90.00 gamma=90.00
With the nearest neighbours (Å) after each atom.
Fractional positions:
Au: 0.0000 0.0000 0.0000  4 Si 2.47
Sr: 0.5000 0.5000 0.5000  4 Pb 3.49, 8 Si 3.82
Si: 0.5000 0.0000 0.0000  2 Au 2.47
Si: 0.0000 0.0000 0.5000  2 Au 2.47
Pb: 0.0000 0.5000 0.0000  2 Au 2.92